1.
VASP calculation (PBE) on a geometry-optimized ReW3 structure.

- calculated formation energy (eV per atom) = 0.33
- crystal system = cubic
- total moment (μB per formula unit) = 0.00

```
data_ReW3
_chemical_formula_sum 'Re1 W3'
_space_group_name_H-M_alt 'P 1'
_space_group_IT_number 1
_space_group_name_Hall 'P 1'
_cell_length_a 4.004
_cell_length_b 4.004
_cell_length_c 4.004
_cell_angle_alpha 90.00
_cell_angle_beta 90.00
_cell_angle_gamma 90.00
loop_
_atom_site_label
_atom_site_fract_x
_atom_site_fract_y
_atom_site_fract_z
Re1 0.000 0.000 0.000
W1 0.000 0.500 0.500
W2 0.500 0.000 0.500
W3 0.500 0.500 0.000
```

=====

2.
VASP calculation (PBE) on a geometry-optimized KCuAg structure.

- calculated formation energy (eV per atom) = 0.25
- crystal system = hexagonal
- total moment (μB per formula unit) = 0.00

```
data_KCuAg
_chemical_formula_sum 'K1 Cu1 Ag1'
_space_group_name_H-M_alt 'P 1'
_space_group_IT_number 1
_space_group_name_Hall 'P 1'
_cell_length_a 4.482
_cell_length_b 4.482
_cell_length_c 4.866
_cell_angle_alpha 90.00
_cell_angle_beta 90.00
_cell_angle_gamma 120.00
loop_
_atom_site_label
_atom_site_fract_x
_atom_site_fract_y
_atom_site_fract_z
Ag1 0.000 0.000 0.167
Cu1 0.667 0.333 0.167
K1 0.333 0.667 0.667
```

=====

3.
VASP calculation (PBE) on a geometry-optimized ZrAuSe2 structure.

- energy relative to the elements, uncorrected (eV/atom) = -0.59
- crystal system = tetragonal
- total moment (μB per formula unit) = 0.00

```
data_ZrAuSe2
_chemical_formula_sum 'Zr1 Au1 Se2'
_space_group_name_H-M_alt 'P 1'
_space_group_IT_number 1
_space_group_name_Hall 'P 1'
_cell_length_a 3.468
_cell_length_b 3.468
_cell_length_c 6.592
_cell_angle_alpha 90.00
_cell_angle_beta 90.00
_cell_angle_gamma 90.00
loop_
_atom_site_label
_atom_site_fract_x
_atom_site_fract_y
_atom_site_fract_z
Au1 0.500 0.500 0.750
Se1 0.000 0.000 0.023
Se2 0.000 0.000 0.477
Zr1 0.500 0.500 0.250
```

=====

4.
VASP calculation (PBE) on a geometry-optimized Dy2SnSe structure.

- energy relative to the elements, uncorrected (eV/atom) = -1.22
- crystal system = trigonal
- total moment (μB per formula unit) = 0.00

```
data_Dy2SnSe
_chemical_formula_sum 'Dy2 Sn1 Se1'
_space_group_name_H-M_alt 'P 1'
_space_group_IT_number 1
_space_group_name_Hall 'P 1'
_cell_length_a 4.214
_cell_length_b 4.213
_cell_length_c 7.462
_cell_angle_alpha 90.01
_cell_angle_beta 106.39
_cell_angle_gamma 120.00
loop_
_atom_site_label
_atom_site_fract_x
_atom_site_fract_y
_atom_site_fract_z
Dy1 0.506 0.253 0.758
Dy2 0.494 0.747 0.242
Sn1 0.000 0.500 0.500
Se1 0.000 0.000 0.000
```

=====

5.
VASP calculation (PBE) on a geometry-optimized TePt2Cl structure.

- energy relative to the elements, uncorrected (eV/atom) = 0.03
- crystal system = monoclinic
- total moment (μB per formula unit) = 0.00

```
data_TePt2Cl
_chemical_formula_sum 'Te1 Pt2 Cl1'
_space_group_name_H-M_alt 'P 1'
_space_group_IT_number 1
_space_group_name_Hall 'P 1'
_cell_length_a 3.701
_cell_length_b 3.701
_cell_length_c 7.220
_cell_angle_alpha 75.68
_cell_angle_beta 75.68
_cell_angle_gamma 60.03
loop_
_atom_site_label
_atom_site_fract_x
_atom_site_fract_y
_atom_site_fract_z
Cl1 0.250 0.250 0.250
Pt1 0.008 0.008 0.983
Pt2 0.492 0.492 0.517
Te1 0.750 0.750 0.750
```

=====

6.
VASP calculation (PBE) on a geometry-optimized Al2ZnP structure.

- calculated formation energy (eV per atom) = 0.16
- crystal system = trigonal
- total moment (μB per formula unit) = 0.00

```
data_Al2ZnP
_chemical_formula_sum 'Al2 Zn1 P1'
_space_group_name_H-M_alt 'P 1'
_space_group_IT_number 1
_space_group_name_Hall 'P 1'
_cell_length_a 9.738
_cell_length_b 9.738
_cell_length_c 9.738
_cell_angle_alpha 16.48
_cell_angle_beta 16.48
_cell_angle_gamma 16.48
loop_
_atom_site_label
_atom_site_fract_x
_atom_site_fract_y
_atom_site_fract_z
P1 0.508 0.508 0.508
Zn1 0.749 0.749 0.749
Al1 0.996 0.996 0.996
Al2 0.247 0.247 0.247
```

=====

7.
VASP calculation (PBE) on a geometry-optimized CaV2Sn2 structure.

- calculated formation energy (eV per atom) = 0.07
- crystal system = tetragonal
- total moment (μB per formula unit) = 0.00

```
data_CaV2Sn2
_chemical_formula_sum 'Ca2 V4 Sn4'
_space_group_name_H-M_alt 'P 1'
_space_group_IT_number 1
_space_group_name_Hall 'P 1'
_cell_length_a 8.286
_cell_length_b 8.286
_cell_length_c 2.988
_cell_angle_alpha 90.00
_cell_angle_beta 90.00
_cell_angle_gamma 90.00
loop_
_atom_site_label
_atom_site_fract_x
_atom_site_fract_y
_atom_site_fract_z
Ca1 0.000 0.000 0.000
Ca2 0.500 0.500 0.000
Sn1 0.320 0.820 0.000
Sn2 0.820 0.680 0.000
Sn3 0.680 0.180 0.000
Sn4 0.180 0.320 0.000
V1 0.104 0.604 0.500
V2 0.604 0.896 0.500
V3 0.896 0.396 0.500
V4 0.396 0.104 0.500
```